(1)
VASP calculation (PBE-GGA) on an optimized crystal structure of CaMg3Au3.

Structure (extended XYZ):
```
14
Lattice="7.323 0.000 0.000 0.000 7.323 0.000 0.000 0.000 7.323" Properties=species:S:1:pos:R:3 pbc="T T T"
Ca 0.000 0.000 0.000
Ca 3.661 3.661 3.661
Mg 0.000 1.831 3.661
Mg 0.000 5.492 3.661
Mg 1.831 3.661 0.000
Mg 3.661 0.000 1.831
Mg 3.661 0.000 5.492
Mg 5.492 3.661 0.000
Au 0.000 3.661 1.831
Au 0.000 3.661 5.492
Au 1.831 0.000 3.661
Au 3.661 1.831 0.000
Au 3.661 5.492 0.000
Au 5.492 0.000 3.661
```

Properties
Volume   196.33 Å³/f.u.
Energy of formation   -0.213 eV per atom
Spin magnetization   0.00 μB per formula unit
DFT total energy   -2.59 eV/atom
Fermi-level density of states   0.672 states/eV/atom

(2)
VASP calculation (PBE-GGA) on an optimized crystal structure of Ca4MgAu.

Structure (extended XYZ):
```
6
Lattice="0.000 4.691 4.691 4.691 0.000 4.691 4.691 4.691 0.000" Properties=species:S:1:pos:R:3 pbc="T T T"
Ca 1.175 1.175 1.175
Ca 3.516 3.516 1.175
Ca 3.516 1.175 3.516
Ca 1.175 3.516 3.516
Mg 7.036 7.036 7.036
Au 4.691 4.691 4.691
```

Properties
Volume   206.45 Å³/f.u.
Energy of formation   0.315 eV per atom
Spin magnetization   0.00 μB per formula unit
DFT total energy   -1.83 eV/atom
Polymorph energy (0 for the lowest one)   4.02 eV per formula unit
Fermi-level density of states   1.159 states/eV/atom

(3)
VASP calculation (PBE-GGA) on an optimized crystal structure of CaMgAu11.

Structure (extended XYZ):
```
13
Lattice="2.818 -6.665 0.000 2.818 6.665 0.000 -2.816 0.000 6.776" Properties=species:S:1:pos:R:3 pbc="T T T"
Ca 0.000 0.000 0.000
Mg 1.410 0.000 3.388
Au -1.408 0.000 3.388
Au 1.409 3.333 0.000
Au 0.054 2.275 2.363
Au 0.049 1.422 5.293
Au 0.054 -2.275 2.363
Au 2.771 1.422 1.483
Au 1.409 -3.333 0.000
Au 0.049 -1.422 5.293
Au 2.766 2.275 4.413
Au 2.771 -1.422 1.483
Au 2.766 -2.275 4.413
```

Properties
Volume   254.57 Å³/f.u.
Energy of formation   -0.272 eV per atom
Spin magnetization   0.00 μB per formula unit
DFT total energy   -3.32 eV/atom
Fermi-level density of states   0.281 states/eV/atom

(4)
VASP calculation (PBE-GGA) on an optimized crystal structure of CaMg4Au5.

Structure (extended XYZ):
```
10
Lattice="3.396 0.000 0.000 0.000 3.396 0.000 0.000 0.000 16.644" Properties=species:S:1:pos:R:3 pbc="T T T"
Ca 0.000 0.000 0.000
Mg 0.000 0.000 3.558
Mg 0.000 0.000 6.743
Mg 0.000 0.000 9.900
Mg 0.000 0.000 13.085
Au 1.698 1.698 2.029
Au 1.698 1.698 5.157
Au 1.698 1.698 8.322
Au 1.698 1.698 11.487
Au 1.698 1.698 14.615
```

Properties
Volume   192.00 Å³/f.u.
Energy of formation   -0.639 eV per atom
Spin magnetization   0.00 μB per formula unit
DFT total energy   -3.12 eV/atom
Fermi-level density of states   0.378 states/eV/atom

> Number 2 is which compound?

Ca4MgAu